<P>
VASP calculation (GGA+U) on MgMnIO2 after structural relaxation.

```
MgMnIO2
1.0
-2.1682 2.4832 2.1577
0.4706 -2.3235 3.1469
4.7601 2.9086 1.4358
I Mg Mn O
1 1 1 2
Direct
0.0000 0.0000 0.5000
0.5000 0.5000 0.5000
0.0000 0.0000 0.0000
0.0000 0.5000 0.0000
0.5000 0.0000 0.0000
```

Spin magnetization in Bohr magnetons per cell: 4.4
V in A^3/atom: 17.88
Density of states at the Fermi level in states/eV/cell: 1.361



<Q>
VASP calculation (GGA+U) on MgMnIO2 after structural relaxation.

```
MgMnIO2
1.0
4.0347 0.0000 0.0000
0.0000 4.0347 0.0000
0.0000 0.0000 5.7128
I Mg Mn O
1 1 1 2
Direct
0.0000 0.0000 0.5000
0.0000 0.0000 0.0000
0.5000 0.5000 0.5000
0.0000 0.5000 0.0000
0.5000 0.0000 0.0000
```

Spin magnetization in Bohr magnetons per cell: 6.2
V in A^3/atom: 18.60
Density of states at the Fermi level in states/eV/cell: 1.082



Which of them is least stable? Easy: <Q>.